Run A
DFT (PBE) results for crystalline GaN2Cl at its relaxed geometry.

```
GaN2Cl
1.0
1.7993 1.0388 5.6229
-1.7993 1.0388 5.6229
0.0000 -2.0776 5.6229
Ga N Cl
1 2 1
direct
0.0000 0.0000 0.0000
0.1085 0.1085 0.1085
0.8915 0.8915 0.8915
0.5000 0.5000 0.5000
```

## Properties
M_tot: 0.0 μB per cell
symmetry: R-3m (166)

Run B
DFT (PBE) results for crystalline GaN2Cl at its relaxed geometry.

```
GaN2Cl
1.0
-2.6390 2.6390 4.0554
2.6390 -2.6390 4.0554
2.6390 2.6390 -4.0554
Ga N Cl
2 4 2
direct
0.0000 0.0000 0.0000
0.7500 0.2500 0.5000
0.0607 0.6250 0.9357
0.3750 0.3107 0.4357
0.6893 0.1250 0.0643
0.8750 0.9393 0.5643
0.2500 0.7500 0.5000
0.5000 0.5000 0.0000
```

## Properties
M_tot: 0.0 μB per cell
symmetry: I-42d (122)

The most stable of them is run B.